Material: TmNiO3
Method: DFT, GGA+U
State: relaxed

Properties
Crystal system: orthorhombic
Theoretical density, g cm⁻³: 8.59
Symmetry: Pnma (62)
Final energy, eV/atom: -6.595

Cell: 5.140 5.655 7.329 Å, 90.00 90.00 90.00°
Last column: magnetic moment on the atom in μB.
Atoms (fractional coordinates):
O 0.195 0.184 0.445  -0.07
O 0.115 0.463 0.750  -0.10
O 0.615 0.037 0.250  -0.10
O 0.805 0.816 0.945  -0.07
O 0.385 0.963 0.750  -0.10
Ni 0.000 0.500 0.500  1.28
Ni 0.500 0.000 0.500  1.28
Tm 0.524 0.586 0.750  0.01
O 0.695 0.316 0.945  -0.07
Tm 0.976 0.086 0.750  0.01
O 0.305 0.684 0.445  -0.07
O 0.195 0.184 0.055  -0.07
Ni 0.500 0.000 0.000  1.28
O 0.305 0.684 0.055  -0.07
Tm 0.024 0.914 0.250  0.01
Ni 0.000 0.500 0.000  1.28
O 0.805 0.816 0.555  -0.07
O 0.695 0.316 0.555  -0.07
Tm 0.476 0.414 0.250  0.01
O 0.885 0.537 0.250  -0.10